DFT (GGA+U) results for crystalline MnCoSbO6 at its relaxed geometry.

Lattice parameters (Å, degrees): 5.0869 5.0869 8.7451 90.00 90.00 120.00
Closest atoms and distances in Å follow each position.
Element x y z (fractional)
Mn  0.3333  0.6667  0.2500  6 O 1.93
Mn  0.6667  0.3333  0.7500  6 O 1.93
Co  0.0000  0.0000  0.0000  6 O 2.08
Co  0.0000  0.0000  0.5000  6 O 2.08
Sb  0.3333  0.6667  0.7500  6 O 2.02
Sb  0.6667  0.3333  0.2500  6 O 2.02
O  0.0129  0.3501  0.1294  1 Mn 1.93, 1 Sb 2.02, 1 Co 2.08
O  0.0129  0.6628  0.3706  1 Mn 1.93, 1 Sb 2.02, 1 Co 2.08
O  0.3372  0.3501  0.3706  1 Mn 1.93, 1 Sb 2.02, 1 Co 2.08
O  0.3372  0.9871  0.1294  1 Mn 1.93, 1 Sb 2.02, 1 Co 2.08
O  0.3501  0.0129  0.6294  1 Mn 1.93, 1 Sb 2.02, 1 Co 2.08
O  0.3501  0.3372  0.8706  1 Mn 1.93, 1 Sb 2.02, 1 Co 2.08
O  0.6499  0.6628  0.1294  1 Mn 1.93, 1 Sb 2.02, 1 Co 2.08
O  0.6499  0.9871  0.3706  1 Mn 1.93, 1 Sb 2.02, 1 Co 2.08
O  0.6628  0.0129  0.8706  1 Mn 1.93, 1 Sb 2.02, 1 Co 2.08
O  0.6628  0.6499  0.6294  1 Mn 1.93, 1 Sb 2.02, 1 Co 2.08
O  0.9871  0.3372  0.6294  1 Mn 1.93, 1 Sb 2.02, 1 Co 2.08
O  0.9871  0.6499  0.8706  1 Mn 1.93, 1 Sb 2.02, 1 Co 2.08

Results
M_tot = 14.12 μB/cell
symmetry = No. 163
energy = -6.2967 eV/atom